No. 1
{
  "formula": "GeSbOs",
  "functional": "PBE",
  "state": "optimized geometry",
  "lattice_angstrom": [[0.000, 3.100, 3.100], [3.100, 0.000, 3.100], [3.100, 3.100, 0.000]],
  "species": ["Ge", "Os", "Sb"],
  "fractional_positions": [[0.250, 0.250, 0.250], [0.000, 0.000, 0.000], [0.750, 0.750, 0.750]],
  "de_polymorph_kj_per_mol_atoms": 0.00,
  "m_tot_mub_per_fu": 0.00,
  "dft_energy_ev_per_atom": -6.4598,
  "density_g_cm3": 10.7
}

---

No. 2
{
  "formula": "HgICl",
  "functional": "PBE",
  "state": "optimized geometry",
  "lattice_angstrom": [[-2.735, 9.240, 3.197], [-2.469, 0.374, -3.191], [-5.708, -8.398, 3.432]],
  "species": ["I", "I", "I", "Cl", "Cl", "Cl", "Hg", "Hg", "Hg"],
  "fractional_positions": [[0.665, 0.000, 0.056], [0.254, 0.000, 0.197], [0.213, 0.000, 0.775], [0.915, 0.500, 0.900], [0.794, 0.000, 0.491], [0.482, 0.000, 0.594], [0.444, 0.500, 0.917], [0.378, 0.500, 0.410], [0.856, 0.500, 0.660]],
  "dft_energy_ev_per_atom": -1.5379,
  "density_g_cm3": 4.6
}

---

No. 3
{
  "formula": "Hf3CuTc2",
  "functional": "PBE",
  "state": "optimized geometry",
  "lattice_angstrom": [[-2.555, 2.028, 0.403], [0.232, -0.357, 3.259], [6.025, 7.510, 0.393]],
  "species": ["Tc", "Tc", "Hf", "Hf", "Hf", "Cu"],
  "fractional_positions": [[0.500, 0.500, 0.827], [0.500, 0.500, 0.173], [0.000, 0.000, 0.672], [0.000, 0.000, 0.328], [0.000, 0.000, 0.000], [0.500, 0.500, 0.500]],
  "m_tot_mub_per_fu": 0.00,
  "dft_energy_ev_per_atom": -9.4677,
  "density_g_cm3": 12.7
}

---

No. 4
{
  "formula": "ZrBeFeSn",
  "functional": "PBE",
  "state": "optimized geometry",
  "lattice_angstrom": [[0.000, 3.196, 3.196], [3.196, 0.000, 3.196], [3.196, 3.196, 0.000]],
  "species": ["Fe", "Zr", "Be", "Sn"],
  "fractional_positions": [[0.500, 0.500, 0.500], [0.000, 0.000, 0.000], [0.750, 0.750, 0.750], [0.250, 0.250, 0.250]],
  "de_polymorph_kj_per_mol_atoms": 29.74,
  "m_tot_mub_per_fu": 1.76,
  "dft_energy_ev_per_atom": -5.9471,
  "density_g_cm3": 7.0
}

---

No. 5
{
  "formula": "Li2Y2Ga2CuAu",
  "functional": "PBE",
  "state": "optimized geometry",
  "lattice_angstrom": [[-2.012, 3.278, 2.568], [-3.415, -2.931, 1.066], [3.403, -2.045, 5.276]],
  "species": ["Cu", "Au", "Ga", "Ga", "Y", "Y", "Li", "Li"],
  "fractional_positions": [[0.500, 0.500, 0.500], [0.000, 0.000, 0.000], [0.500, 0.000, 0.261], [0.000, 0.500, 0.739], [0.500, 0.000, 0.740], [0.000, 0.500, 0.260], [0.500, 0.500, 0.000], [0.000, 0.000, 0.500]],
  "m_tot_mub_per_fu": 0.00,
  "dft_energy_ev_per_atom": -4.2204,
  "density_g_cm3": 7.0
}

---

No. 6
{
  "formula": "PaOsAu",
  "functional": "PBE",
  "state": "optimized geometry",
  "lattice_angstrom": [[-2.967, -2.194, -2.734], [-4.066, 1.902, -0.972], [-0.839, 1.593, -4.225]],
  "species": ["Au", "Os", "Pa"],
  "fractional_positions": [[0.250, 0.250, 0.250], [0.000, 0.000, 0.000], [0.750, 0.750, 0.750]],
  "m_tot_mub_per_fu": 0.00,
  "dft_energy_ev_per_atom": -7.9203,
  "density_g_cm3": 15.0
}

---

No. 7
{
  "formula": "NiPd3",
  "functional": "PBE",
  "state": "optimized geometry",
  "lattice_angstrom": [[-4.286, -3.303, -0.638], [5.053, -2.028, -0.186], [-0.118, -0.699, 4.412]],
  "species": ["Pd", "Pd", "Pd", "Pd", "Pd", "Pd", "Ni", "Ni"],
  "fractional_positions": [[0.169, 0.831, 0.250], [0.831, 0.169, 0.750], [0.831, 0.662, 0.750], [0.169, 0.338, 0.250], [0.338, 0.169, 0.750], [0.662, 0.831, 0.250], [0.333, 0.667, 0.750], [0.667, 0.333, 0.250]],
  "m_tot_mub_per_fu": 1.88,
  "dft_energy_ev_per_atom": -5.2312,
  "density_g_cm3": 10.9
}

---

No. 8
{
  "formula": "LiFeSiHg",
  "functional": "PBE",
  "state": "optimized geometry",
  "lattice_angstrom": [[3.188, -2.241, 1.887], [0.306, -0.112, 4.318], [-0.896, -3.656, 2.140]],
  "species": ["Si", "Fe", "Li", "Hg"],
  "fractional_positions": [[0.000, 0.000, 0.000], [0.750, 0.750, 0.750], [0.250, 0.250, 0.250], [0.500, 0.500, 0.500]],
  "de_polymorph_kj_per_mol_atoms": 0.00,
  "m_tot_mub_per_fu": 1.90,
  "dft_energy_ev_per_atom": -3.8606,
  "density_g_cm3": 8.4
}

---

No. 9
{
  "formula": "LiScZnAs",
  "functional": "PBE",
  "state": "optimized geometry",
  "lattice_angstrom": [[-1.979, 1.816, 3.764], [-4.119, -1.546, 1.420], [-0.320, -2.499, 3.877]],
  "species": ["Li", "Sc", "Zn", "As"],
  "fractional_positions": [[0.500, 0.500, 0.500], [0.250, 0.250, 0.250], [0.750, 0.750, 0.750], [0.000, 0.000, 0.000]],
  "de_polymorph_kj_per_mol_atoms": 25.70,
  "m_tot_mub_per_fu": 0.03,
  "dft_energy_ev_per_atom": -3.7494,
  "density_g_cm3": 4.6
}

---

No. 10
{
  "formula": "ScCuOsW",
  "functional": "PBE",
  "state": "optimized geometry",
  "lattice_angstrom": [[0.000, 3.122, 3.122], [3.122, 0.000, 3.122], [3.122, 3.122, 0.000]],
  "species": ["Sc", "W", "Cu", "Os"],
  "fractional_positions": [[0.000, 0.000, 0.000], [0.250, 0.250, 0.250], [0.750, 0.750, 0.750], [0.500, 0.500, 0.500]],
  "de_polymorph_kj_per_mol_atoms": 2.02,
  "m_tot_mub_per_fu": 0.00,
  "dft_energy_ev_per_atom": -8.5651,
  "density_g_cm3": 13.2
}

---

No. 11
{
  "formula": "PPt2",
  "functional": "PBE",
  "state": "optimized geometry",
  "lattice_angstrom": [[-2.655, 1.098, 4.419], [-4.873, -1.888, 0.685], [-0.883, -3.790, 3.555]],
  "species": ["Pt", "Pt", "Pt", "Pt", "P", "P"],
  "fractional_positions": [[0.625, 0.125, 0.625], [0.625, 0.625, 0.125], [0.125, 0.625, 0.625], [0.625, 0.625, 0.625], [0.000, 0.000, 0.000], [0.250, 0.250, 0.250]],
  "m_tot_mub_per_fu": 0.00,
  "dft_energy_ev_per_atom": -5.2210,
  "density_g_cm3": 13.5
}

---

No. 12
{
  "formula": "TmZr3Cd2C2",
  "functional": "PBE",
  "state": "optimized geometry",
  "lattice_angstrom": [[-0.521, -0.248, -3.323], [-1.394, -2.243, 2.098], [-12.604, 9.053, 1.300]],
  "species": ["Tm", "C", "C", "Cd", "Cd", "Zr", "Zr", "Zr"],
  "fractional_positions": [[0.000, 0.000, 0.916], [0.333, 0.667, 0.009], [0.333, 0.667, 0.499], [0.000, 0.000, 0.252], [0.667, 0.333, 0.741], [0.667, 0.333, 0.419], [0.667, 0.333, 0.085], [0.000, 0.000, 0.579]],
  "m_tot_mub_per_fu": 0.10,
  "dft_energy_ev_per_atom": -6.7713,
  "density_g_cm3": 7.5
}